DFT (GGA-PBE) results for a relaxed structure of Li2InAg2Hg2.

```
Li2InAg2Hg2
1.0
2.343 1.352 7.112
-2.343 1.352 7.112
0.000 -2.705 7.112
Li In Ag Hg
2 1 2 2
Cartesian
0.000 0.000 4.836
0.000 0.000 16.500
0.000 0.000 10.668
0.000 0.000 2.029
0.000 0.000 19.307
0.000 0.000 7.714
0.000 0.000 13.622
```

N(E_F)	0.31	states/eV per atom
crystal system	trigonal
formation energy from the elements	-0.1372	eV/atom

DFT (GGA-PBE) results for a relaxed structure of Li3In2Ag2Hg4.

```
Li3In2Ag2Hg4
1.0
4.850 0.000 0.000
-2.425 4.200 0.000
0.000 0.000 11.615
Li In Ag Hg
3 2 2 4
Cartesian
0.000 0.000 0.000
0.000 0.000 4.169
0.000 0.000 7.446
0.000 2.800 0.875
2.425 1.400 10.741
0.000 2.800 6.557
2.425 1.400 5.059
0.000 2.800 3.803
0.000 2.800 9.400
2.425 1.400 2.215
2.425 1.400 7.812
```

N(E_F)	0.18	states/eV per atom
crystal system	trigonal
formation energy from the elements	-0.1157	eV/atom

DFT (GGA-PBE) results for a relaxed structure of LuInAgHg.

```
LuInAgHg
1.0
0.000 3.538 3.538
3.538 0.000 3.538
3.538 3.538 0.000
Lu In Ag Hg
1 1 1 1
Cartesian
0.000 0.000 0.000
3.538 3.538 3.538
5.307 5.307 5.307
1.769 1.769 1.769
```

N(E_F)	0.58	states/eV per atom
crystal system	cubic
formation energy from the elements	-0.2816	eV/atom